(1)
# CsCoPd3

CsCoPd3 after structural relaxation (PBE, Alexandria).

Cell: 4.8329 4.8329 4.8329 Å, 90.00 90.00 90.00°
With the nearest neighbours (Å) after each atom.
Space group Pm-3m (No. 221)
Inequivalent atoms, fractional coordinates:
Cs (0.0000, 0.0000, 0.0000) [1 per cell]  12 Pd 3.42
Co (0.5000, 0.5000, 0.5000) [1 per cell]  6 Pd 2.42
Pd (0.0000, 0.5000, 0.5000) [3 per cell]  2 Co 2.42

Calculated values
- Total magnetization: 2.70 μB/f.u.
- E_form: 2.675 eV/f.u.
- E_tot: -4.173 eV per atom


(2)
# Ba8CaIn2

Ba8CaIn2 after structural relaxation (PBE, Alexandria).

Cell: 10.9099 19.8718 6.3373 Å, 90.00 125.41 90.00°
With the nearest neighbours (Å) after each atom.
Space group Cm (No. 8)
Inequivalent atoms, fractional coordinates:
Ba (0.0000, 0.0000, 0.0000) [2 per cell]  2 In 3.64, 2 Ba 3.99-4.00
Ba (0.0744, 0.3854, 0.5761) [4 per cell]  1 In 3.64, 2 Ba 4.01-4.02
Ba (0.2736, 0.0000, 0.7713) [2 per cell]  1 Ca 3.84, 4 Ba 3.99-4.23
Ba (0.3885, 0.2065, 0.8913) [4 per cell]  3 In 3.65-3.76, 4 Ba 4.01-4.06
Ba (0.4351, 0.3323, 0.4377) [4 per cell]  3 In 3.84-4.03, 1 Ca 3.91, 3 Ba 4.06-4.11
Ca (0.2057, 0.5000, 0.2069) [2 per cell]  9 Ba 3.84-4.11
In (0.1810, 0.1644, 0.1847) [4 per cell]  8 Ba 3.64-4.03

Calculated values
- Total magnetization: 0.00 μB/f.u.
- E_form: -1.271 eV/f.u.
- E_tot: -2.194 eV per atom


(3)
# Pm2MgNi3H12

Pm2MgNi3H12 after structural relaxation (PBE, Alexandria).

Cell: 5.8932 5.8932 14.9330 Å, 90.00 90.00 120.00°
With the nearest neighbours (Å) after each atom.
Space group R-3m (No. 166, hexagonal axes)
Inequivalent atoms, fractional coordinates:
Pm (0.0000, 0.0000, 0.1104) [6 per cell]  9 H 2.32-2.57
Mg (0.0000, 0.0000, 0.5000) [3 per cell]  6 H 2.00
Ni (0.0000, 0.5000, 0.0000) [9 per cell]  6 H 1.62-1.64
H (0.0211, 0.5106, 0.8901) [18 per cell]  1 Ni 1.64
H (0.0349, 0.5175, 0.3264) [18 per cell]  2 Ni 1.62

Calculated values
- Total magnetization: 0.00 μB/f.u.
- E_tot: -4.058 eV per atom


(4)
# Tl2CuRh

Tl2CuRh after structural relaxation (PBE, Alexandria).

Cell: 3.3058 3.3058 7.4252 Å, 90.00 90.00 90.00°
With the nearest neighbours (Å) after each atom.
Space group P4mm (No. 99)
Inequivalent atoms, fractional coordinates:
Tl (0.0000, 0.0000, 0.0000) [1 per cell]  4 Rh 2.90, 1 Cu 2.95
Tl (0.5000, 0.5000, 0.3649) [1 per cell]  4 Cu 2.93, 1 Rh 3.00
Cu (0.0000, 0.0000, 0.6031) [1 per cell]  4 Rh 2.64, 5 Tl 2.93-2.95
Rh (0.5000, 0.5000, 0.7684) [1 per cell]  4 Cu 2.64, 4 Tl 2.90

Calculated values
- Total magnetization: 0.00 μB/f.u.
- E_form: 0.739 eV/f.u.
- E_tot: -3.860 eV per atom